This record from Alexandria describes an optimized crystal structure of Co2Rh. The functional is GGA-PBEsol.

* spin magnetization: 1.108 μB per atom
* raw total energy: -7.7899 eV per atom
* DFT formation energy: 0.081 eV per atom

a b c (Å): 2.5657 3.5046 7.6532
angles (deg): 90.00 90.00 90.00
Last column: nearest neighbours and their distance in Å.
Positions (direct):
Co1 0.0000 0.0000 0.0000  8 Rh 2.54, 4 Co 2.57-2.64
Co2 0.0000 0.0000 0.3447  8 Co 2.38-2.64, 4 Rh 2.54
Co3 0.0000 0.0000 0.6553  8 Co 2.38-2.64, 4 Rh 2.54
Co4 0.5000 0.5000 0.5000  10 Co 2.48-2.57, 2 Rh 2.51
Rh1 0.5000 0.5000 0.1722  9 Co 2.51-2.54, 3 Rh 2.57-2.64
Rh2 0.5000 0.5000 0.8278  9 Co 2.51-2.54, 3 Rh 2.57-2.64